(w)
# TbNdZnCu

A relaxed structure of TbNdZnCu (PBE, Alexandria via LeMat-Bulk).

Computed properties:
The symmetry is P4mm.

Geometry as extended XYZ:
```
4
Lattice="-2.3019 1.8116 2.0577 -2.5217 -0.3448 -2.5174 -2.1653 -6.1756 3.0149" Properties=species:S:1:pos:R:3 pbc="T T T"
Zn -1.8231 -5.1997 2.5385
Tb -3.7073 -2.9616 1.5740
Cu -0.8171 -2.3305 1.1378
Nd -2.6506 0.0523 0.1027
```

(x)
# TbNdZnCu

A relaxed structure of TbNdZnCu (PBE, Alexandria via LeMat-Bulk).

Computed properties:
The symmetry is F-43m.

Geometry as extended XYZ:
```
4
Lattice="5.0781 0.0000 0.0000 2.5391 4.3978 0.0000 2.5391 1.4659 4.1463" Properties=species:S:1:pos:R:3 pbc="T T T"
Nd 5.0781 2.9318 2.0731
Cu 2.5391 1.4659 1.0366
Zn 7.6172 4.3978 3.1097
Tb 0.0000 0.0000 0.0000
```

Stability order, top to bottom: (w), (x)

(w)
# Nd2CuTe4

A relaxed structure of Nd2CuTe4 (PBE, Alexandria via LeMat-Bulk).

Computed properties:
The symmetry is P2_1/m.

Geometry as extended XYZ:
```
14
Lattice="7.7126 0.0000 0.1402 0.0000 6.3136 0.0000 -2.6774 0.0000 8.4061" Properties=species:S:1:pos:R:3 pbc="T T T"
Nd 4.2869 4.7352 4.8483
Nd -0.7686 1.5784 7.8684
Nd 0.7483 1.5784 3.6979
Nd 5.8039 4.7352 0.6778
Te 1.7892 6.2885 6.3906
Te 1.7892 3.1819 6.3906
Te -1.7631 4.7352 7.4213
Te 5.5072 1.5784 5.1147
Te 3.2461 3.1317 2.1557
Te 3.2461 0.0251 2.1557
Te 6.7984 1.5784 1.1250
Te -0.4720 4.7352 3.4316
Cu 1.2346 4.7352 1.5437
Cu 3.8006 1.5784 7.0026
```

(x)
# Nd2CuTe4

A relaxed structure of Nd2CuTe4 (PBE, Alexandria via LeMat-Bulk).

Computed properties:
The symmetry is P2_1.

Geometry as extended XYZ:
```
14
Lattice="-1.4596 -7.4700 -3.5555 -2.6412 -2.0879 5.4707 -6.9193 2.4837 -2.3776" Properties=species:S:1:pos:R:3 pbc="T T T"
Te -7.4516 -0.0646 -1.7535
Te -5.1918 -2.8929 -3.4708
Te -5.3566 -1.7677 4.1572
Te -4.6011 -3.2113 0.4241
Te -2.3356 -5.9057 -1.4732
Te -3.5663 -6.9991 1.2961
Te -8.6775 -1.1331 1.0276
Te -6.8968 -6.3086 -2.0506
Cu -4.7179 -4.8947 -1.8030
Cu -6.1752 -1.5297 1.6499
Nd -7.4543 -3.2840 -1.0645
Nd -2.9977 -0.8829 1.9858
Nd -6.6394 -5.1533 -5.1260
Nd -4.9382 -4.7750 3.3052
```

Stability order, top to bottom: (x), (w)

(w)
# NdThCu4

A relaxed structure of NdThCu4 (PBE, Alexandria via LeMat-Bulk).

Computed properties:
The symmetry is I-4m2.

Geometry as extended XYZ:
```
6
Lattice="-1.0128 -0.9537 -3.6798 3.6395 0.8562 -1.2236 0.8644 -7.3311 3.7651" Properties=species:S:1:pos:R:3 pbc="T T T"
Cu 0.9319 -5.3509 -0.9725
Cu 0.2331 -2.9827 -1.3939
Cu 1.8317 -6.2071 1.1047
Cu 1.6594 -1.2215 -2.2430
Th 0.0000 0.0000 0.0000
Nd 2.9086 -3.2618 0.0449
```

(x)
# NdThCu4

A relaxed structure of NdThCu4 (PBE, Alexandria via LeMat-Bulk).

Computed properties:
The symmetry is F-43m.

Geometry as extended XYZ:
```
6
Lattice="-2.3794 1.8225 4.4445 -2.2139 -3.4444 3.4600 2.2703 -0.8232 4.7858" Properties=species:S:1:pos:R:3 pbc="T T T"
Cu -0.3449 0.1939 6.2014
Cu -1.4518 -1.5282 7.9314
Cu -2.5870 -1.1166 5.5385
Cu -0.2621 -2.4394 5.7092
Th -0.5807 -0.6113 3.1726
Nd 0.0000 0.0000 0.0000
```

Stability order, top to bottom: (w), (x)

(w)
# NdTl2Cu

A relaxed structure of NdTl2Cu (PBE, Alexandria via LeMat-Bulk).

Computed properties:
The symmetry is P4/mmm.

Geometry as extended XYZ:
```
4
Lattice="4.5291 0.0000 0.0000 0.0000 4.6954 0.0000 0.0000 0.0000 4.6954" Properties=species:S:1:pos:R:3 pbc="T T T"
Tl 0.0000 0.0000 2.3477
Tl 0.0000 2.3477 0.0000
Nd 2.2646 2.3477 2.3477
Cu 2.2646 0.0000 0.0000
```

(x)
# NdTl2Cu

A relaxed structure of NdTl2Cu (PBE, Alexandria via LeMat-Bulk).

Computed properties:
The symmetry is R-3m.

Geometry as extended XYZ:
```
4
Lattice="4.6220 0.0000 0.0000 2.3110 4.0028 0.0000 2.3110 1.3343 5.4493" Properties=species:S:1:pos:R:3 pbc="T T T"
Tl 6.9331 4.0028 3.6430
Tl 2.3110 1.3343 1.8063
Nd 0.0000 0.0000 0.0000
Cu 4.6220 2.6685 2.7247
```

Stability order, top to bottom: (x), (w)

(w)
# Nd4TlCu

A relaxed structure of Nd4TlCu (PBE, Alexandria via LeMat-Bulk).

Computed properties:
The symmetry is P2_1/c.

Geometry as extended XYZ:
```
12
Lattice="-2.1901 -5.8045 -0.5927 4.8227 -2.5813 7.4578 -4.2543 2.9779 3.7818" Properties=species:S:1:pos:R:3 pbc="T T T"
Tl 1.3163 -4.1929 3.4325
Tl 0.0000 0.0000 0.0000
Nd -0.9520 -1.8040 3.7362
Nd 2.3411 -5.0899 6.4375
Nd 1.1633 -1.0966 8.3482
Nd -3.9629 -0.3181 4.2093
Nd 2.5021 -1.6877 5.2895
Nd -0.6697 -3.6039 6.9107
Nd -4.1239 -3.7202 5.3574
Nd -2.7850 -4.3114 2.2987
Cu 0.2842 0.1983 5.6198
Cu -3.2222 -1.4133 1.5945
```

(x)
# Nd4TlCu

A relaxed structure of Nd4TlCu (PBE, Alexandria via LeMat-Bulk).

Computed properties:
The symmetry is P2_1/m.

Geometry as extended XYZ:
```
12
Lattice="-5.2521 1.5481 -0.7772 -1.1394 -5.9213 -4.0950 1.4431 -5.6234 7.7297" Properties=species:S:1:pos:R:3 pbc="T T T"
Nd 0.0197 -7.2166 3.6853
Nd -2.4198 -4.6510 -2.3321
Nd -2.5286 -5.3456 5.1896
Nd -0.5049 -9.9425 1.8001
Nd -4.4435 -0.0541 1.0574
Nd -4.9681 -2.7800 -0.8278
Nd -2.7665 -3.1253 2.0453
Nd -2.1819 -6.8713 0.8122
Tl -3.1566 -8.5192 3.4663
Tl -1.7918 -1.4773 -0.6088
Cu -4.5096 -5.6995 -0.2345
Cu -0.4388 -4.2970 3.0920
```

Stability order, top to bottom: (x), (w)

(w)
# Nd6Tl2Cu

A relaxed structure of Nd6Tl2Cu (PBE, Alexandria via LeMat-Bulk).

Computed properties:
The symmetry is P2_1/c.

Geometry as extended XYZ:
```
18
Lattice="6.3516 0.0000 0.4602 0.0000 8.7825 0.0000 -0.2170 0.0000 10.1958" Properties=species:S:1:pos:R:3 pbc="T T T"
Nd 2.2965 4.6863 7.6438
Nd 0.5538 0.2951 7.8800
Nd 2.3638 7.1779 4.7558
Nd 2.3767 7.2537 0.6758
Nd 0.6906 2.8625 4.6522
Nd 5.4439 5.9201 6.0038
Nd 0.7035 2.7866 0.5722
Nd 5.5808 8.4875 2.7760
Nd 5.4311 5.9959 10.0838
Nd 3.7708 1.6046 5.9002
Nd 3.8381 4.0962 3.0122
Nd 3.7579 1.5288 9.9802
Tl 2.5668 1.0549 2.7608
Tl 0.5004 5.4462 2.5672
Tl 3.5677 7.7276 7.8951
Tl 5.6341 3.3363 8.0888
Cu 3.1758 4.3913 0.2301
Cu -0.1085 0.0000 5.0979
```

(x)
# Nd6Tl2Cu

A relaxed structure of Nd6Tl2Cu (PBE, Alexandria via LeMat-Bulk).

Computed properties:
The symmetry is P-62m.

Geometry as extended XYZ:
```
9
Lattice="-0.3534 2.6376 2.7646 -8.5824 1.4859 -2.5147 1.8668 -6.2990 6.2483" Properties=species:S:1:pos:R:3 pbc="T T T"
Nd -7.6398 -0.9716 2.6135
Nd -2.8661 -0.6088 2.8776
Nd -2.1302 0.3688 -0.6242
Nd 0.4629 -1.5643 1.5516
Nd -5.0484 -3.6176 2.8061
Nd -5.3232 2.2099 -0.1257
Tl -1.6163 -3.7046 3.3278
Tl -5.0989 -1.1086 0.4059
Cu -8.7584 2.8046 -1.1322
```

Stability order, top to bottom: (x), (w)

(w)
# NdTmZnCu

A relaxed structure of NdTmZnCu (PBE, Alexandria via LeMat-Bulk).

Computed properties:
The symmetry is P4mm.

Geometry as extended XYZ:
```
4
Lattice="3.5365 0.0000 0.0000 0.0000 3.5365 0.0000 0.0000 0.0000 7.1744" Properties=species:S:1:pos:R:3 pbc="T T T"
Nd 0.0000 0.0000 6.1717
Zn 1.7683 1.7683 4.1933
Tm 0.0000 0.0000 2.4926
Cu 1.7683 1.7683 0.9743
```

(x)
# NdTmZnCu

A relaxed structure of NdTmZnCu (PBE, Alexandria via LeMat-Bulk).

Computed properties:
The symmetry is F-43m.

Geometry as extended XYZ:
```
4
Lattice="-2.3192 1.9908 3.9984 -1.1505 -2.9042 3.9460 2.4903 0.5482 4.3389" Properties=species:S:1:pos:R:3 pbc="T T T"
Nd -0.4897 -0.1826 6.1417
Tm 0.0000 0.0000 0.0000
Cu -0.2448 -0.0913 3.0708
Zn -0.7345 -0.2739 9.2125
```

Stability order, top to bottom: (w), (x)

(w)
# NdY2Cu

A relaxed structure of NdY2Cu (PBE, Alexandria via LeMat-Bulk).

Computed properties:
The symmetry is R-3m.

Geometry as extended XYZ:
```
4
Lattice="3.6761 0.0000 0.0000 1.8381 3.1836 0.0000 1.8381 1.0612 9.9147" Properties=species:S:1:pos:R:3 pbc="T T T"
Y 1.8381 1.0612 1.9493
Y 5.5142 3.1836 7.9654
Nd 3.6761 2.1224 4.9573
Cu 0.0000 0.0000 0.0000
```

(x)
# NdY2Cu

A relaxed structure of NdY2Cu (PBE, Alexandria via LeMat-Bulk).

Computed properties:
The symmetry is R3m.

Geometry as extended XYZ:
```
4
Lattice="-2.0670 -0.3531 -3.0832 -1.4041 -3.3260 -0.9325 -9.1609 0.7103 3.8058" Properties=species:S:1:pos:R:3 pbc="T T T"
Y -2.7178 -0.8487 -0.3354
Y -7.6084 0.3347 2.8079
Cu -2.3349 -2.4476 -2.6637
Nd -6.2870 -1.4914 -0.1236
```

Stability order, top to bottom: (x), (w)